[1]
The following is a PBE calculation of BaMg2Pb after structural relaxation, from the Alexandria database.

CIF file:
```
data_BaMg2Pb
_symmetry_space_group_name_H-M 'P 1'
_symmetry_Int_Tables_number 1
_cell_length_a 6.9772
_cell_length_b 12.0919
_cell_length_c 3.4287
_cell_angle_alpha 90.00
_cell_angle_beta 116.35
_cell_angle_gamma 90.00
loop_
_symmetry_equiv_pos_as_xyz
'x,y,z'
loop_
_atom_site_label
_atom_site_type_symbol
_atom_site_fract_x
_atom_site_fract_y
_atom_site_fract_z
_atom_site_occupancy
Ba1 Ba 0.0000 0.0000 0.0000 1
Ba2 Ba 0.5000 0.5000 0.0000 1
Mg1 Mg 0.2500 0.2500 0.5000 1
Mg2 Mg 0.2500 0.7500 0.5000 1
Mg3 Mg 0.7500 0.2500 0.5000 1
Mg4 Mg 0.7500 0.7500 0.5000 1
Pb1 Pb 0.0000 0.5000 0.0000 1
Pb2 Pb 0.5000 0.0000 0.0000 1
```

Properties
Space-group type: C2/m, No. 12
Energy of formation: -0.0122 eV/atom


[2]
The following is a PBE calculation of CsKTeSe3 after structural relaxation, from the Alexandria database.

CIF file:
```
data_CsKTeSe3
_symmetry_space_group_name_H-M 'P 1'
_symmetry_Int_Tables_number 1
_cell_length_a 6.8796
_cell_length_b 6.8796
_cell_length_c 11.5041
_cell_angle_alpha 102.80
_cell_angle_beta 102.80
_cell_angle_gamma 77.82
loop_
_symmetry_equiv_pos_as_xyz
'x,y,z'
loop_
_atom_site_label
_atom_site_type_symbol
_atom_site_fract_x
_atom_site_fract_y
_atom_site_fract_z
_atom_site_occupancy
Cs1 Cs 0.1915 0.1915 0.0918 1
Cs2 Cs 0.8085 0.8085 0.9082 1
K1 K 0.2459 0.7541 0.5000 1
K2 K 0.7541 0.2459 0.5000 1
Te1 Te 0.3788 0.3788 0.7682 1
Te2 Te 0.6212 0.6212 0.2318 1
Se1 Se 0.2392 0.7105 0.2016 1
Se2 Se 0.2695 0.2695 0.5433 1
Se3 Se 0.2895 0.7608 0.7984 1
Se4 Se 0.7105 0.2392 0.2016 1
Se5 Se 0.7305 0.7305 0.4567 1
Se6 Se 0.7608 0.2895 0.7984 1
```

Properties
Space-group type: C2/m, No. 12
Raw formation energy: -711 meV/atom


[3]
The following is a PBE calculation of MgBiAu4 after structural relaxation, from the Alexandria database.

CIF file:
```
data_MgBiAu4
_symmetry_space_group_name_H-M 'P 1'
_symmetry_Int_Tables_number 1
_cell_length_a 4.7403
_cell_length_b 4.7403
_cell_length_c 6.4777
_cell_angle_alpha 90.00
_cell_angle_beta 90.00
_cell_angle_gamma 120.00
loop_
_symmetry_equiv_pos_as_xyz
'x,y,z'
loop_
_atom_site_label
_atom_site_type_symbol
_atom_site_fract_x
_atom_site_fract_y
_atom_site_fract_z
_atom_site_occupancy
Mg1 Mg 0.0000 0.0000 0.0000 1
Bi1 Bi 0.0000 0.0000 0.5000 1
Au1 Au 0.3333 0.6667 0.2269 1
Au2 Au 0.3333 0.6667 0.7731 1
Au3 Au 0.6667 0.3333 0.2269 1
Au4 Au 0.6667 0.3333 0.7731 1
```

Properties
Space-group type: P6/mmm, No. 191
ΔE to the lowest computed polymorph: 0.0093 eV per atom
Energy of formation: -0.1453 eV/atom


[4]
The following is a PBE calculation of ZnReSi2 after structural relaxation, from the Alexandria database.

CIF file:
```
data_ZnReSi2
_symmetry_space_group_name_H-M 'P 1'
_symmetry_Int_Tables_number 1
_cell_length_a 2.9328
_cell_length_b 2.9328
_cell_length_c 23.4731
_cell_angle_alpha 90.00
_cell_angle_beta 90.00
_cell_angle_gamma 120.00
loop_
_symmetry_equiv_pos_as_xyz
'x,y,z'
loop_
_atom_site_label
_atom_site_type_symbol
_atom_site_fract_x
_atom_site_fract_y
_atom_site_fract_z
_atom_site_occupancy
Zn1 Zn 0.0000 0.0000 0.0000 1
Zn2 Zn 0.3333 0.6667 0.6667 1
Zn3 Zn 0.6667 0.3333 0.3333 1
Re1 Re 0.0000 0.0000 0.2416 1
Re2 Re 0.3333 0.6667 0.9083 1
Re3 Re 0.6667 0.3333 0.5750 1
Si1 Si 0.0000 0.0000 0.4977 1
Si2 Si 0.0000 0.0000 0.7521 1
Si3 Si 0.3333 0.6667 0.1643 1
Si4 Si 0.3333 0.6667 0.4188 1
Si5 Si 0.6667 0.3333 0.0854 1
Si6 Si 0.6667 0.3333 0.8310 1
```

Properties
Space-group type: R3m, No. 160
Raw formation energy: 255 meV/atom


[5]
The following is a PBE calculation of NaErAuO2 after structural relaxation, from the Alexandria database.

CIF file:
```
data_NaErAuO2
_symmetry_space_group_name_H-M 'P 1'
_symmetry_Int_Tables_number 1
_cell_length_a 6.3773
_cell_length_b 5.3416
_cell_length_c 6.3575
_cell_angle_alpha 90.00
_cell_angle_beta 90.64
_cell_angle_gamma 90.00
loop_
_symmetry_equiv_pos_as_xyz
'x,y,z'
loop_
_atom_site_label
_atom_site_type_symbol
_atom_site_fract_x
_atom_site_fract_y
_atom_site_fract_z
_atom_site_occupancy
Na1 Na 0.0000 0.0260 0.2500 1
Na2 Na 0.0000 0.9740 0.7500 1
Er1 Er 0.5000 0.0047 0.7500 1
Er2 Er 0.5000 0.9953 0.2500 1
Au1 Au 0.5000 0.5000 0.0000 1
Au2 Au 0.5000 0.5000 0.5000 1
O1 O 0.2763 0.0868 0.9990 1
O2 O 0.2763 0.9132 0.4990 1
O3 O 0.7237 0.0868 0.5010 1
O4 O 0.7237 0.9132 0.0010 1
```

Properties
Space-group type: P2/c, No. 13
Raw formation energy: -1687 meV/atom


| no. | VASP energy (eV per cell) |
| --- | --- |
| 1 | -17.74 |
| 2 | -39.63 |
| 3 | -19.46 |
| 4 | -70.65 |
| 5 | -55.02 |